An optimized crystal structure of SrNdMn2O5, computed with PBE+U.

Unit cell a=3.9798 b=3.9798 c=7.8570 alpha=90.00 beta=90.00 gamma=90.00
Positions (direct):
Sr  0.0000  0.0000  0.0000
Nd  0.0000  0.0000  0.5000
Mn  0.5000  0.5000  0.2595
Mn  0.5000  0.5000  0.7405
O  0.0000  0.5000  0.3083
O  0.0000  0.5000  0.6917
O  0.5000  0.0000  0.3083
O  0.5000  0.0000  0.6917
O  0.5000  0.5000  0.0000

Summary:
**DOS(E_F)**: 0.160 states/eV per atom
**ΔE to the lowest computed polymorph**: 0 meV/atom
**Total DFT energy (no corrections)**: -7.488 eV per atom